## Hf2ZrSi2 (meta-GGA SCAN)

Data for Hf2ZrSi2 at its PBEsol-relaxed geometry.

Output
Calculated total energy in eV per formula unit: -180.158

a b c (Å): 3.595 7.022 7.022
angles (deg): 90.00 90.00 90.00
Fractional coordinates of all 10 atoms:
Zr (0.000, 0.000, 0.000)
Zr (0.000, 0.500, 0.500)
Hf (0.500, 0.174, 0.674)
Hf (0.500, 0.674, 0.826)
Hf (0.500, 0.826, 0.326)
Hf (0.500, 0.326, 0.174)
Si (0.000, 0.123, 0.377)
Si (0.000, 0.623, 0.123)
Si (0.000, 0.877, 0.623)
Si (0.000, 0.377, 0.877)


## HfZr3Si (meta-GGA SCAN)

Data for HfZr3Si at its PBEsol-relaxed geometry.

Output
Calculated total energy in eV per formula unit: -163.663

a b c (Å): 4.913 4.913 4.913
angles (deg): 90.00 90.00 90.00
Each line ends with the local moment (μB).
Fractional coordinates of all 5 atoms:
Zr (0.000, 0.500, 0.000)  0.10
Zr (0.000, 0.000, 0.500)  0.10
Zr (0.500, 0.000, 0.000)  0.10
Hf (0.500, 0.500, 0.500)  0.41
Si (0.000, 0.000, 0.000)  -0.01


## HfZr2Si2 (meta-GGA SCAN)

Data for HfZr2Si2 at its PBEsol-relaxed geometry.

Output
Calculated total energy in eV per formula unit: -148.521

a b c (Å): 3.647 7.016 7.016
angles (deg): 90.00 90.00 90.00
Fractional coordinates of all 10 atoms:
Si (0.000, 0.123, 0.377)
Si (0.000, 0.377, 0.877)
Si (0.000, 0.877, 0.623)
Si (0.000, 0.623, 0.123)
Zr (0.500, 0.826, 0.326)
Zr (0.500, 0.674, 0.826)
Zr (0.500, 0.174, 0.674)
Zr (0.500, 0.326, 0.174)
Hf (0.000, 0.000, 0.000)
Hf (0.000, 0.500, 0.500)


Short version: raw formation energy = -0.816 0.224 -0.884 eV per atom, in the order given.